## Ta5Os3 (PBEsol)

Data for Ta5Os3 after structural relaxation.

Mass density = 19.10 g/cm³
Final energy = -12.73 eV/atom
Crystal system = orthorhombic
Total moment = 0.00 μB per formula unit

Cell: 4.492 5.503 5.503 Å, 109.43 90.00 90.00°
Fractional coordinates of all 8 atoms:
Os1 0.000 0.500 0.500
Os2 0.500 0.747 0.253
Os3 0.500 0.253 0.747
Ta1 0.000 0.000 0.000
Ta2 0.500 0.750 0.750
Ta3 0.000 0.500 0.000
Ta4 0.500 0.250 0.250
Ta5 0.000 0.000 0.500

## Ta2Os (PBEsol)

Data for Ta2Os after structural relaxation.

Mass density = 15.87 g/cm³
Final energy = -12.27 eV/atom
Crystal system = cubic
Total moment = 0.00 μB per formula unit

Cell: 4.340 4.340 4.340 Å, 60.00 60.00 60.00°
Fractional coordinates of all 3 atoms:
Ta1 0.750 0.750 0.750
Ta2 0.250 0.250 0.250
Os1 0.000 0.000 0.000

## TaOs4 (PBEsol)

Data for TaOs4 after structural relaxation.

Mass density = 21.31 g/cm³
Final energy = -12.31 eV/atom
Crystal system = tetragonal
Total moment = 0.00 μB per formula unit

Cell: 3.849 4.772 4.772 Å, 80.64 66.22 66.22°
Fractional coordinates of all 5 atoms:
Os1 0.402 0.788 0.408
Os2 0.190 0.408 0.212
Os3 0.598 0.212 0.592
Os4 0.810 0.592 0.788
Ta1 0.000 0.000 0.000

## Ta2Os3 (PBEsol)

Data for Ta2Os3 after structural relaxation.

Mass density = 18.11 g/cm³
Final energy = -12.14 eV/atom
Relative energy among the computed polymorphs = 345.9 meV/atom
Crystal system = trigonal
Total moment = 0.00 μB per formula unit

Cell: 4.313 4.313 5.308 Å, 90.00 90.00 120.00°
Fractional coordinates of all 5 atoms:
Os1 0.667 0.333 0.667
Os2 0.000 0.000 0.000
Os3 0.333 0.667 0.333
Ta1 0.667 0.333 0.183
Ta2 0.333 0.667 0.817